CaTl2As, optimized geometry, DFT GGA-PBE; DFT total energy = -3.16 eV per atom; space group = C2/m
1.0
6.789 -0.024 0.170
-3.938 5.530 0.170
1.405 2.713 3.222
Tl Ca As
2 1 1
Direct
0.000 0.000 0.000 Tl
0.500 0.500 0.000 Tl
0.000 0.500 0.500 Ca
0.500 0.000 0.500 As

***

CaTl2As2, optimized geometry, DFT GGA-PBE; DFT total energy = -3.53 eV per atom; space group = P4/mbm
1.0
-3.284 1.629 6.511
-6.408 -2.917 -2.502
1.342 -4.495 1.802
Tl Ca As
4 2 4
Direct
0.173 0.673 0.500 Tl
0.673 0.827 0.500 Tl
0.827 0.327 0.500 Tl
0.327 0.173 0.500 Tl
0.000 0.000 0.000 Ca
0.500 0.500 0.000 Ca
0.383 0.883 0.000 As
0.883 0.617 0.000 As
0.617 0.117 0.000 As
0.117 0.383 0.000 As

***

| no. | total magnetization (Bohr magnetons per cell) |
| --- | --- |
| 1 | 0.0 |
| 2 | 0.0 |